# SiSb (GGA-PBE, relaxed)
# E ... -4.403 eV per atom
# Density of states at the Fermi level ... 0.63 states/eV/atom
# Spin magnetization ... 0.00 μB per formula unit
# Raw formation energy ... 0.369 eV per atom
data_SiSb
_cell_length_a 3.927
_cell_length_b 12.887
_cell_length_c 3.912
_cell_angle_alpha 90.00
_cell_angle_beta 90.00
_cell_angle_gamma 90.00
_symmetry_space_group_name_H-M 'C m c m'
_symmetry_Int_Tables_number 63
_symmetry_space_group_name_Hall '-C 2c 2'
loop_
_atom_site_label
_atom_site_type_symbol
_atom_site_fract_x
_atom_site_fract_y
_atom_site_fract_z
Si1 Si 0.000 0.167 0.250
Sb1 Sb 0.000 0.374 0.250